The following is a PBE calculation of crystalline Sm6SnSe3S2 at its relaxed geometry, from the Alexandria database.

Cell: 18.289 4.154 8.412 Å, 90.00 103.88 90.00°
Space group C2/m (No. 12)
Inequivalent atoms, fractional coordinates:
Sm 0.006 0.000 0.261 [4 per cell]
Sm 0.170 0.500 0.102 [4 per cell]
Sm 0.172 0.500 0.573 [4 per cell]
Sn 0.000 0.500 0.000 [2 per cell]
Se 0.000 0.500 0.500 [2 per cell]
Se 0.164 0.000 0.832 [4 per cell]
S 0.168 0.000 0.336 [4 per cell]

calculated density	7076	kg/m³
raw formation energy	-1.693	eV/atom
crystal system	monoclinic

---

The following is a PBE calculation of crystalline TbSmSeS at its relaxed geometry, from the Alexandria database.

Cell: 3.9539 3.9539 21.0311 Å, 90.00 90.00 120.00°
Space group R3m (No. 160, hexagonal axes)
Inequivalent atoms, fractional coordinates:
Tb 0.0000 0.0000 0.0000 [3 per cell]
Sm 0.0000 0.0000 0.8155 [3 per cell]
Se 0.0000 0.0000 0.2421 [3 per cell]
S 0.0000 0.0000 0.4073 [3 per cell]

calculated density	7352	kg/m³
raw formation energy	-1.908	eV/atom
crystal system	trigonal

---

The following is a PBE calculation of crystalline Tb2Sm2Se3S2 at its relaxed geometry, from the Alexandria database.

Cell: 5.628 5.628 14.293 Å, 90.00 90.00 90.00°
Space group I4/mmm (No. 139)
Inequivalent atoms, fractional coordinates:
Tb 0.000 0.500 0.000 [4 per cell]
Sm 0.000 0.000 0.213 [4 per cell]
Se 0.000 0.000 0.000 [2 per cell]
Se 0.000 0.500 0.250 [4 per cell]
S 0.000 0.000 0.402 [4 per cell]

calculated density	6745	kg/m³
raw formation energy	-1.577	eV/atom
crystal system	tetragonal

---

The following is a PBE calculation of crystalline Tb2Sm2Se2S3 at its relaxed geometry, from the Alexandria database.

Cell: 5.400 5.400 14.846 Å, 90.00 90.00 90.00°
Space group I4/mmm (No. 139)
Inequivalent atoms, fractional coordinates:
Tb 0.000 0.500 0.000 [4 per cell]
Sm 0.000 0.000 0.202 [4 per cell]
Se 0.000 0.000 0.398 [4 per cell]
S 0.000 0.000 0.000 [2 per cell]
S 0.000 0.500 0.250 [4 per cell]

calculated density	6694	kg/m³
raw formation energy	-1.700	eV/atom
crystal system	tetragonal